Record 1
## Nd2ErThTe5 (PBE)

Data for Nd2ErThTe5 after structural relaxation.

ρ: 6.23 g/cm³
uncorrected formation energy: -0.70 eV/atom
volume: 39.26 Å³ per atom

Unit cell a=5.4705 b=5.4705 c=11.8076 alpha=90.00 beta=90.00 gamma=90.00
Atoms (fractional coordinates):
1 Nd 0.0000 0.0000 0.1565
2 Nd 0.0000 0.0000 0.8435
3 Er 0.5000 0.5000 0.0000
4 Th 0.5000 0.5000 0.5000
5 Te 0.0000 0.0000 0.5000
6 Te 0.0000 0.5000 0.0000
7 Te 0.5000 0.0000 0.0000
8 Te 0.5000 0.5000 0.2513
9 Te 0.5000 0.5000 0.7487

***

Record 2
## CaPr2Si6 (PBE)

Data for CaPr2Si6 after structural relaxation.

ρ: 4.33 g/cm³
uncorrected formation energy: -0.48 eV/atom
volume: 20.88 Å³ per atom

Unit cell a=7.1491 b=7.1491 c=4.2449 alpha=90.00 beta=90.00 gamma=120.00
Atoms (fractional coordinates):
1 Ca 0.0000 0.0000 0.0000
2 Pr 0.3333 0.6667 0.0000
3 Pr 0.6667 0.3333 0.0000
4 Si 0.0000 0.3332 0.5000
5 Si 0.0000 0.6668 0.5000
6 Si 0.3332 0.0000 0.5000
7 Si 0.3332 0.3332 0.5000
8 Si 0.6668 0.0000 0.5000
9 Si 0.6668 0.6668 0.5000

***

Record 3
## Ba2Hg2Bi (PBE)

Data for Ba2Hg2Bi after structural relaxation.

ρ: 7.62 g/cm³
polymorph energy (0 for the lowest one): 54 meV per atom
volume: 38.59 Å³ per atom
formation energy: -0.5538 eV/atom

Unit cell a=9.9376 b=9.9376 c=9.9376 alpha=153.66 beta=153.66 gamma=37.60
Atoms (fractional coordinates):
1 Ba 0.0983 0.0983 0.0000
2 Ba 0.9017 0.9017 0.0000
3 Hg 0.2500 0.7500 0.5000
4 Hg 0.7500 0.2500 0.5000
5 Bi 0.5000 0.5000 0.0000

***

Record 4
## LaPrHgGe (PBE)

Data for LaPrHgGe after structural relaxation.

ρ: 8.30 g/cm³
volume: 27.66 Å³ per atom
formation energy: -0.5861 eV/atom

Unit cell a=5.3887 b=5.3887 c=5.3887 alpha=60.00 beta=60.00 gamma=60.00
Atoms (fractional coordinates):
1 La 0.0000 0.0000 0.0000
2 Pr 0.5000 0.5000 0.5000
3 Hg 0.2500 0.2500 0.2500
4 Ge 0.7500 0.7500 0.7500